# 1
First-principles (PBE) data for HoPaNiPt after structural relaxation, as listed in Alexandria.

Lattice parameters (Å, degrees): 6.896 6.896 6.896 90.00 90.00 90.00
Space group F-43m (No. 216)
Asymmetric unit:
1 Ho 0.000 0.000 0.000 x4
2 Pa 0.000 0.000 0.500 x4
3 Ni 0.250 0.250 0.750 x4
4 Pt 0.250 0.250 0.250 x4

## Properties
The value obtained for the final energy is -7.06 eV/atom.

# 2
First-principles (PBE) data for HoNiPb after structural relaxation, as listed in Alexandria.

Lattice parameters (Å, degrees): 7.963 4.610 7.780 90.00 110.07 90.00
Space group C2/m (No. 12)
Asymmetric unit:
1 Ho 0.239 0.000 0.218 x4
2 Ni 0.134 0.500 0.402 x4
3 Pb 0.000 0.000 0.500 x2
4 Pb 0.000 0.500 0.000 x2

## Properties
The value obtained for the final energy is -5.02 eV/atom.

# 3
First-principles (PBE) data for HoNiPb2 after structural relaxation, as listed in Alexandria.

Lattice parameters (Å, degrees): 3.4918 3.4918 30.1664 90.00 90.00 120.00
Space group R-3m (No. 166, hexagonal axes)
Asymmetric unit:
1 Ho 0.0000 0.0000 0.0000 x3
2 Ni 0.0000 0.0000 0.5000 x3
3 Pb 0.0000 0.0000 0.1052 x6

## Properties
The value obtained for the final energy is -4.25 eV/atom.

# 4
First-principles (PBE) data for Ho2Ni2Pb after structural relaxation, as listed in Alexandria.

Lattice parameters (Å, degrees): 4.137 14.223 3.552 90.00 90.00 90.00
Space group Cmmm (No. 65)
Asymmetric unit:
1 Ho 0.000 0.143 0.000 x4
2 Ni 0.000 0.299 0.500 x4
3 Pb 0.000 0.500 0.500 x2

## Properties
The value obtained for the final energy is -5.40 eV/atom.

no.,ΔH_f (0 K) (kcal/mol of atoms)
1,-13.5
2,-7.6
3,4.5
4,-11.9